[1]
Material: BICl3
Method: DFT, PBE
State: optimized geometry

a = 5.522 Å, b = 5.522 Å, c = 5.522 Å
α = 90.00°, β = 90.00°, γ = 90.00°
Fractional coordinates of all 5 atoms:
Cl: 0.000 0.000 0.500
Cl: 0.500 0.000 0.000
Cl: 0.000 0.500 0.000
B: 0.500 0.500 0.500
I: 0.000 0.000 0.000

Properties
The uncorrected energy is -1.73 eV/atom. The space group is Pm-3m. As for the formation energy (no corrections): 1.0253 eV/atom.

=====

[2]
Material: BI2Cl
Method: DFT, PBE
State: optimized geometry

a = 7.136 Å, b = 7.136 Å, c = 6.586 Å
α = 57.20°, β = 57.20°, γ = 90.00°
Fractional coordinates of all 8 atoms:
B: 0.250 0.750 0.500
B: 0.500 0.500 0.000
I: 0.227 0.625 0.250
I: 0.875 0.773 0.750
I: 0.375 0.477 0.750
I: 0.523 0.125 0.250
Cl: 0.000 0.000 0.000
Cl: 0.750 0.250 0.500

Properties
The uncorrected energy is -2.51 eV/atom. The space group is I-42d. As for the formation energy (no corrections): 0.3986 eV/atom.

=====

[3]
Material: BICl2
Method: DFT, PBE
State: optimized geometry

a = 6.569 Å, b = 6.569 Å, c = 6.573 Å
α = 60.02°, β = 60.02°, γ = 90.00°
Fractional coordinates of all 8 atoms:
Cl: 0.875 0.625 0.750
Cl: 0.375 0.125 0.250
Cl: 0.375 0.625 0.250
Cl: 0.375 0.625 0.750
B: 0.500 0.500 0.000
B: 0.250 0.750 0.500
I: 0.750 0.250 0.500
I: 0.000 0.000 0.000

Properties
The uncorrected energy is -2.68 eV/atom. The space group is Fd-3m. As for the formation energy (no corrections): 0.3020 eV/atom.